1.
Entry from Alexandria via LeMat-Bulk: crystalline Ac2ThS2N2 at its relaxed geometry (PBE-GGA).

```
Ac2ThS2N2
1.0
-2.3126 2.3126 7.7220
2.3126 -2.3126 7.7220
2.3126 2.3126 -7.7220
Ac Th S N
2 1 2 2
Direct
0.1227 0.1227 0.0000
0.8773 0.8773 0.0000
0.5000 0.5000 0.0000
0.3162 0.3162 0.0000
0.6838 0.6838 0.0000
0.0000 0.5000 0.5000
0.5000 0.0000 0.5000
```

Formation energy without anion corrections ... -1689 meV/atom
Raw total energy ... -52.36 eV/f.u.


2.
Entry from Alexandria via LeMat-Bulk: crystalline Ho2HfSc4 at its relaxed geometry (PBE-GGA).

```
Ho2HfSc4
1.0
2.9025 -1.6759 0.0000
2.9025 1.6759 0.0000
-1.9308 0.0000 18.5454
Ho Hf Sc
2 1 4
Direct
0.0000 0.0000 0.0000
0.0978 0.0978 0.2948
0.1911 0.1911 0.5788
0.2828 0.2828 0.8519
0.3829 0.3829 0.1480
0.8140 0.8140 0.4469
0.9021 0.9021 0.7121
```

Offset from the most stable computed form ... 0.0 meV/atom
ΔE_f ... 0.26 eV per formula unit
Raw total energy ... -44.18 eV/f.u.


3.
Entry from Alexandria via LeMat-Bulk: crystalline YTa2Al2 at its relaxed geometry (PBE-GGA).

```
YTa2Al2
1.0
7.6502 0.0000 0.0000
0.0000 7.6502 0.0000
0.0000 0.0000 3.2861
Y Ta Al
2 4 4
Direct
0.0000 0.0000 0.0000
0.5000 0.5000 0.0000
0.1729 0.3271 0.5000
0.3271 0.8271 0.5000
0.6729 0.1729 0.5000
0.8271 0.6729 0.5000
0.1201 0.6201 0.0000
0.3799 0.1201 0.0000
0.6201 0.8799 0.0000
0.8799 0.3799 0.0000
```

ΔE_f ... -0.42 eV per formula unit
Raw total energy ... -38.08 eV/f.u.


4.
Entry from Alexandria via LeMat-Bulk: crystalline TlSiPb2 at its relaxed geometry (PBE-GGA).

```
TlSiPb2
1.0
-2.4003 2.4003 4.8083
2.4003 -2.4003 4.8083
2.4003 2.4003 -4.8083
Tl Si Pb
1 1 2
Direct
0.0000 0.0000 0.0000
0.7500 0.2500 0.5000
0.2500 0.7500 0.5000
0.5000 0.5000 0.0000
```

Formation energy without anion corrections ... 338 meV/atom
Raw total energy ... -13.86 eV/f.u.


5.
Entry from Alexandria via LeMat-Bulk: crystalline SmHg2Pd2 at its relaxed geometry (PBE-GGA).

```
SmHg2Pd2
1.0
2.9085 -2.9008 0.0000
2.9085 2.9008 0.0000
-2.7908 0.0000 6.5855
Sm Hg Pd
1 2 2
Direct
0.0000 0.0000 0.0000
0.2498 0.7502 0.5000
0.7502 0.2498 0.5000
0.3955 0.3955 0.8018
0.6045 0.6045 0.1982
```

Offset from the most stable computed form ... 79.6 meV/atom
ΔE_f ... -2.02 eV per formula unit
Raw total energy ... -17.73 eV/f.u.


6.
Entry from Alexandria via LeMat-Bulk: crystalline TbThPb2 at its relaxed geometry (PBE-GGA).

```
TbThPb2
1.0
1.7924 1.0349 10.7661
-1.7924 1.0349 10.7661
0.0000 -2.0697 10.7661
Tb Th Pb
1 1 2
Direct
0.0000 0.0000 0.0000
0.5000 0.5000 0.5000
0.2523 0.2523 0.2523
0.7477 0.7477 0.7477
```

ΔE_f ... -1.00 eV per formula unit
Raw total energy ... -20.47 eV/f.u.


7.
Entry from Alexandria via LeMat-Bulk: crystalline Ce3Ir2 at its relaxed geometry (PBE-GGA).

```
Ce3Ir2
1.0
3.4948 2.0177 6.4104
-3.4948 2.0177 6.4104
0.0000 -4.0354 6.4104
Ce Ir
6 4
Direct
0.0954 0.7500 0.4046
0.2500 0.5954 0.9046
0.4046 0.0954 0.7500
0.5954 0.9046 0.2500
0.7500 0.4046 0.0954
0.9046 0.2500 0.5954
0.1703 0.1703 0.1703
0.3297 0.3297 0.3297
0.6703 0.6703 0.6703
0.8297 0.8297 0.8297
```

Offset from the most stable computed form ... 76.5 meV/atom
ΔE_f ... -2.89 eV per formula unit
Raw total energy ... -38.42 eV/f.u.


8.
Entry from Alexandria via LeMat-Bulk: crystalline BaCd2Hg at its relaxed geometry (PBE-GGA).

```
BaCd2Hg
1.0
2.5113 -9.2911 0.0000
2.5113 9.2911 0.0000
0.0000 0.0000 10.5751
Ba Cd Hg
4 8 4
Direct
0.0000 0.0000 0.0000
0.0000 0.0000 0.5000
0.1970 0.8030 0.7500
0.8030 0.1970 0.2500
0.1875 0.8125 0.1099
0.1875 0.8125 0.3901
0.3965 0.6035 0.7500
0.4486 0.5514 0.2500
0.5514 0.4486 0.7500
0.6035 0.3965 0.2500
0.8125 0.1875 0.6099
0.8125 0.1875 0.8901
0.3512 0.6488 0.0252
0.3512 0.6488 0.4748
0.6488 0.3512 0.5252
0.6488 0.3512 0.9748
```

ΔE_f ... -1.34 eV per formula unit
Raw total energy ... -5.39 eV/f.u.


9.
Entry from Alexandria via LeMat-Bulk: crystalline PaTiIn at its relaxed geometry (PBE-GGA).

```
PaTiIn
1.0
6.1600 -1.5403 0.0000
6.1600 1.5403 0.0000
-1.8391 0.0000 7.0885
Pa Ti In
2 2 2
Direct
0.0152 0.0152 0.3134
0.9848 0.9848 0.6866
0.3789 0.3789 0.9714
0.6211 0.6211 0.0286
0.2852 0.2852 0.3199
0.7148 0.7148 0.6801
```

Offset from the most stable computed form ... 0.0 meV/atom
ΔE_f ... 0.15 eV per formula unit
Raw total energy ... -19.98 eV/f.u.


10.
Entry from Alexandria via LeMat-Bulk: crystalline PmFe2Sb at its relaxed geometry (PBE-GGA).

```
PmFe2Sb
1.0
4.4231 0.0000 0.0000
0.0000 4.4231 0.0000
0.0000 0.0000 3.9430
Pm Fe Sb
1 2 1
Direct
0.0000 0.0000 0.0000
0.0000 0.5000 0.5000
0.5000 0.0000 0.5000
0.5000 0.5000 0.0000
```

Formation energy without anion corrections ... 93 meV/atom
Raw total energy ... -25.43 eV/f.u.


11.
Entry from Alexandria via LeMat-Bulk: crystalline ErTmHf2 at its relaxed geometry (PBE-GGA).

```
ErTmHf2
1.0
4.6223 0.0000 0.0000
0.0000 4.6223 0.0000
0.0000 0.0000 4.7644
Er Tm Hf
1 1 2
Direct
0.0000 0.0000 0.0000
0.5000 0.5000 0.0000
0.0000 0.5000 0.5000
0.5000 0.0000 0.5000
```

Offset from the most stable computed form ... 5.1 meV/atom
ΔE_f ... 0.67 eV per formula unit
Raw total energy ... -28.27 eV/f.u.


12.
Entry from Alexandria via LeMat-Bulk: crystalline CrCo2Ir at its relaxed geometry (PBE-GGA).

```
CrCo2Ir
1.0
1.3789 -2.1657 0.0000
1.3789 2.1657 0.0000
0.0000 0.0000 8.3888
Cr Co Ir
1 2 1
Direct
0.0000 0.0000 0.0000
0.0000 0.0000 0.4764
0.5000 0.5000 0.2405
0.5000 0.5000 0.7438
```

Offset from the most stable computed form ... 320.1 meV/atom
ΔE_f ... 0.96 eV per formula unit
Raw total energy ... -31.73 eV/f.u.


- The lowest raw total energy belongs to which entry?
  Ac2ThS2N2


- Look up the raw total energy of the eleventh one.
  -28.27 eV/f.u.


- Which formula does entry 9 have?
  PaTiIn


- The highest raw total energy belongs to which entry?
  BaCd2Hg